# 1
LuB4 | Alexandria via LeMat-Bulk | PBE-GGA | optimized geometry; D(E_F) = 0.13 states/eV/atom; electronic total energy = -136.0 eV for the cell shown; size of the total moment = 0.00 Bohr magnetons per cell; symmetry = No. 127
1.0
7.0311 0.0000 0.0000
0.0000 7.0311 0.0000
0.0000 0.0000 3.9660
B Lu
16 4
Cartesian
6.4226 2.9071 1.9830
5.7851 6.7582 1.9830
1.2460 0.2729 1.9830
3.5156 3.5156 0.8034
4.1240 6.4226 1.9830
3.7884 4.7615 1.9830
0.0000 0.0000 0.8034
3.2427 2.2696 1.9830
2.2696 3.7884 1.9830
6.7582 1.2460 1.9830
2.9071 0.6085 1.9830
0.6085 4.1240 1.9830
0.2729 5.7851 1.9830
4.7615 3.2427 1.9830
0.0000 0.0000 3.1625
3.5156 3.5156 3.1625
5.7629 4.7837 0.0000
2.2474 5.7629 0.0000
1.2682 2.2474 0.0000
4.7837 1.2682 0.0000

---

# 2
LaSi3 | Alexandria via LeMat-Bulk | PBE-GGA | optimized geometry; D(E_F) = 0.74 states/eV/atom; electronic total energy = -20.2 eV for the cell shown; raw formation energy = 1.03 eV per formula unit; size of the total moment = 0.00 Bohr magnetons per cell; symmetry = No. 166
1.0
5.7570 -0.0194 -0.0620
-2.6142 5.1293 -0.0620
-2.6142 -4.2504 2.8718
Si La
3 1
Cartesian
1.5714 2.5549 -0.0620
-2.6142 0.4394 1.4049
1.5714 -2.1349 1.4049
0.0000 0.0000 0.0000

---

# 3
BaBeP2 | Alexandria via LeMat-Bulk | PBE-GGA | optimized geometry; D(E_F) = 0.32 states/eV/atom; electronic total energy = -16.0 eV for the cell shown; size of the total moment = 0.00 Bohr magnetons per cell; symmetry = No. 99
1.0
3.5235 0.0000 0.0000
0.0000 3.5235 0.0000
0.0000 0.0000 6.6266
P Be Ba
2 1 1
Cartesian
1.7618 1.7618 0.9751
0.0000 0.0000 0.0717
1.7618 1.7618 5.5626
0.0000 0.0000 3.3305

---

# 4
CsBaPuF6 | Alexandria via LeMat-Bulk | PBE-GGA | optimized geometry; D(E_F) = 0.72 states/eV/atom; electronic total energy = -118.9 eV for the cell shown; raw formation energy = -31.13 eV per formula unit; size of the total moment = 10.00 Bohr magnetons per cell; symmetry = No. 163
1.0
6.9261 0.0000 0.0000
-3.4630 5.9982 0.0000
0.0000 0.0000 10.7658
Cs F Pu Ba
2 12 2 2
Cartesian
0.0000 0.0000 0.0000
0.0000 0.0000 5.3829
4.3266 0.2030 3.8444
5.4505 2.1497 1.5385
1.9875 3.8484 6.9214
-0.8635 5.7952 6.9214
-1.1240 2.3527 6.9214
2.3391 3.6454 1.5385
2.5995 0.2030 1.5385
1.4756 2.1497 3.8444
1.1240 2.3527 9.2273
-1.9875 3.8484 9.2273
0.8635 5.7952 9.2273
4.5870 3.6454 3.8444
3.4630 1.9994 2.6914
0.0000 3.9988 8.0743
3.4630 1.9994 8.0743
0.0000 3.9988 2.6914

---

# 5
DyZnInIr | Alexandria via LeMat-Bulk | PBE-GGA | optimized geometry; D(E_F) = 0.48 states/eV/atom; electronic total energy = -19.1 eV for the cell shown; size of the total moment = 0.00 Bohr magnetons per cell; symmetry = No. 216
1.0
4.7806 0.0000 0.0000
2.3903 4.1401 0.0000
2.3903 1.3800 3.9034
In Dy Ir Zn
1 1 1 1
Cartesian
2.3903 1.3800 0.9758
7.1709 4.1401 2.9275
4.7806 2.7601 1.9517
0.0000 0.0000 0.0000

---

# 6
SrLiHgAs | Alexandria via LeMat-Bulk | PBE-GGA | optimized geometry; D(E_F) = 0.01 states/eV/atom; electronic total energy = -11.1 eV for the cell shown; size of the total moment = 0.00 Bohr magnetons per cell; symmetry = No. 216
1.0
5.2138 0.0000 0.0000
2.6069 4.5153 0.0000
2.6069 1.5051 4.2570
As Li Sr Hg
1 1 1 1
Cartesian
0.0000 0.0000 0.0000
2.6069 1.5051 1.0643
7.8207 4.5153 3.1928
5.2138 3.0102 2.1285

---

# 7
TaV3Ga2 | Alexandria via LeMat-Bulk | PBE-GGA | optimized geometry; D(E_F) = 0.60 states/eV/atom; electronic total energy = -92.0 eV for the cell shown; size of the total moment = 0.00 Bohr magnetons per cell; symmetry = No. 12
1.0
-0.6937 -4.2185 -0.0987
6.4834 1.1334 -1.3741
-4.3324 0.5324 7.6953
V Ga Ta
6 4 2
Cartesian
1.5989 -0.3120 2.0963
-0.9327 0.0794 3.1598
2.3900 -2.6322 3.0627
-0.1416 -2.2407 4.1261
-2.4614 -1.8826 5.1253
3.9187 -0.6701 1.0972
-0.8000 -0.0031 5.7539
1.6089 -0.3748 4.7086
2.2573 -2.5496 0.4686
-0.1516 -2.1780 1.5139
-3.0918 0.3411 7.1517
4.5491 -2.8938 -0.9292

---

# 8
TmTlHg4 | Alexandria via LeMat-Bulk | PBE-GGA | optimized geometry; D(E_F) = 0.37 states/eV/atom; electronic total energy = -9.0 eV for the cell shown; size of the total moment = 0.00 Bohr magnetons per cell; symmetry = No. 123
1.0
-2.7357 -0.3511 2.8144
0.9222 -3.8079 0.4213
6.8337 2.4226 6.9459
Tm Tl Hg
1 1 4
Cartesian
2.5101 -0.8682 5.0908
0.0000 0.0000 0.0000
2.3439 0.8308 2.3825
2.6763 -2.5672 7.7991
0.3379 -1.6385 2.8831
4.6823 -0.0980 7.2985